(1)
DFT (PBE) results for crystalline CuPt6 at its relaxed geometry.

a b c (Å): 7.0326 7.0326 7.0326
angles (deg): 90.00 90.00 90.00
With the nearest neighbours (Å) after each atom.
Space group Im-3m (No. 229)
One atom of each set of equivalent atoms:
1 Cu 0.0000 0.0000 0.0000  24 Pt 3.93
2 Pt 0.0000 0.2500 0.5000  4 Pt 2.49

Properties
E_form	1.018	eV per atom
E	-4.7451	eV per atom


(2)
DFT (PBE) results for crystalline Sr2Pb2O5 at its relaxed geometry.

a b c (Å): 17.4506 6.1353 6.0253
angles (deg): 90.00 90.00 90.00
With the nearest neighbours (Å) after each atom.
Space group Ima2 (No. 46)
One atom of each set of equivalent atoms:
1 Sr 0.1140 0.0037 0.0000  5 O 2.49-2.65
2 Pb 0.0000 0.0000 0.5244  6 O 2.19-2.27
3 Pb 0.2500 0.5233 0.9758  4 O 2.30-2.46
4 O 0.0342 0.7366 0.7688  2 Pb 2.20-2.27
5 O 0.1195 0.0971 0.5716  1 Pb 2.19
6 O 0.2500 0.6195 0.5931  2 Pb 2.30-2.38, 2 Sr 2.55

Properties
formation energy without anion corrections	-1.79	eV per atom
E	-5.7401	eV per atom


(3)
DFT (PBE) results for crystalline YHf2CoRu at its relaxed geometry.

a b c (Å): 4.7026 4.7026 4.7891
angles (deg): 90.00 90.00 90.00
With the nearest neighbours (Å) after each atom.
Space group P4/mmm (No. 123)
One atom of each set of equivalent atoms:
1 Y 0.0000 0.0000 0.0000  4 Ru 3.33, 8 Hf 3.36
2 Hf 0.0000 0.5000 0.5000  2 Co 2.35
3 Co 0.5000 0.5000 0.5000  4 Hf 2.35, 2 Ru 2.39
4 Ru 0.5000 0.5000 0.0000  2 Co 2.39

Properties
polymorph energy (0 for the lowest one)	0.000	eV per atom
E_form	0.250	eV per atom
E	-8.3004	eV per atom


(4)
DFT (PBE) results for crystalline NdPaNiSe4 at its relaxed geometry.

a b c (Å): 6.6634 6.1862 8.0727
angles (deg): 90.00 106.51 90.00
With the nearest neighbours (Å) after each atom.
Space group P2_1/m (No. 11)
One atom of each set of equivalent atoms:
1 Nd 0.2427 0.2500 0.0577  6 Se 2.90-3.07
2 Pa 0.2526 0.2500 0.5590  6 Se 2.85-2.97
3 Ni 0.2464 0.7500 0.3302  4 Se 2.28-2.36
4 Se 0.0171 0.5103 0.7410  1 Ni 2.33
5 Se 0.4269 0.7500 0.1170  1 Ni 2.36
6 Se 0.4308 0.7500 0.6157  1 Ni 2.28

Properties
formation energy without anion corrections	-1.26	eV per atom
E	-6.1103	eV per atom


(5)
DFT (PBE) results for crystalline Tm6IrPt3 at its relaxed geometry.

a b c (Å): 8.1592 11.8287 4.8039
angles (deg): 90.00 90.00 90.00
With the nearest neighbours (Å) after each atom.
Space group Pnnm (No. 58)
One atom of each set of equivalent atoms:
1 Tm 0.0002 0.2454 0.0000  4 Pt 2.89-2.90, 1 Ir 3.01
2 Tm 0.1530 0.4088 0.5000  2 Ir 2.91, 3 Pt 2.98-3.03
3 Tm 0.1748 0.0760 0.5000  1 Ir 2.80, 4 Pt 2.93-3.00
4 Ir 0.0000 0.5000 0.0000  8 Tm 2.80-3.01
5 Pt 0.0000 0.0000 0.0000  8 Tm 2.90-3.03
6 Pt 0.1659 0.8282 0.5000  7 Tm 2.89-3.00

Properties
E_form	-0.942	eV per atom
E	-6.3235	eV per atom


(6)
DFT (PBE) results for crystalline TiSeBr2N at its relaxed geometry.

a b c (Å): 4.5018 4.5018 4.6503
angles (deg): 90.00 90.00 90.00
With the nearest neighbours (Å) after each atom.
Space group P4/mmm (No. 123)
One atom of each set of equivalent atoms:
1 Ti 0.0000 0.0000 0.0000  4 Se 3.18, 8 Br 3.24
2 Se 0.5000 0.5000 0.0000  2 N 2.33
3 Br 0.0000 0.5000 0.5000  2 N 2.25
4 N 0.5000 0.5000 0.5000  4 Br 2.25, 2 Se 2.33

Properties
polymorph energy (0 for the lowest one)	0.527	eV per atom
formation energy without anion corrections	0.91	eV per atom
E	-3.6983	eV per atom


> What is the formula in the fifth record?

Tm6IrPt3


> Among the records above, which one has the lowest E?

YHf2CoRu


Repeat the third record exactly.
DFT (PBE) results for crystalline YHf2CoRu at its relaxed geometry.

a b c (Å): 4.7026 4.7026 4.7891
angles (deg): 90.00 90.00 90.00
With the nearest neighbours (Å) after each atom.
Space group P4/mmm (No. 123)
One atom of each set of equivalent atoms:
1 Y 0.0000 0.0000 0.0000  4 Ru 3.33, 8 Hf 3.36
2 Hf 0.0000 0.5000 0.5000  2 Co 2.35
3 Co 0.5000 0.5000 0.5000  4 Hf 2.35, 2 Ru 2.39
4 Ru 0.5000 0.5000 0.0000  2 Co 2.39

Properties
polymorph energy (0 for the lowest one)	0.000	eV per atom
E_form	0.250	eV per atom
E	-8.3004	eV per atom